No. 1
An optimized crystal structure of TaMnCl2, computed with GGA-PBEsol.

```
4
Lattice="-1.525 2.164 6.531 1.525 -2.164 6.531 1.525 2.164 -6.531" Properties=species:S:1:pos:R:3 pbc="T T T"
Ta 0.000 0.000 0.000
Mn 0.000 0.000 6.531
Cl 1.525 0.000 1.970
Cl 0.000 2.164 4.561
```

As for the space-group type: Immm, No. 71. Its energy relative to the lowest polymorph listed for this composition is 0.142 eV/atom. As for the total energy: -6.75 eV per atom.

No. 2
An optimized crystal structure of TaMnCl2, computed with GGA-PBEsol.

```
4
Lattice="3.103 0.000 0.000 0.000 3.220 0.000 0.000 0.000 5.868" Properties=species:S:1:pos:R:3 pbc="T T T"
Ta 0.000 0.000 0.000
Mn 0.000 0.000 2.934
Cl 1.552 1.610 1.441
Cl 1.552 1.610 4.428
```

As for the space-group type: Pmmm, No. 47. Its energy relative to the lowest polymorph listed for this composition is 0.749 eV/atom. As for the total energy: -6.14 eV per atom.

No. 3
An optimized crystal structure of TaMnCl2, computed with GGA-PBEsol.

```
4
Lattice="0.000 3.189 3.189 3.189 0.000 3.189 3.189 3.189 0.000" Properties=species:S:1:pos:R:3 pbc="T T T"
Ta 0.000 0.000 0.000
Mn 4.783 4.783 4.783
Cl 1.594 1.594 1.594
Cl 3.189 3.189 3.189
```

As for the space-group type: F-43m, No. 216. Its energy relative to the lowest polymorph listed for this composition is 0.972 eV/atom. As for the total energy: -5.92 eV per atom.

- Look up the energy relative to the lowest polymorph listed for this composition of the second one.
  0.749 eV/atom

- Among the records above, which one has the highest total energy?
  number 3